No. 1
## CsNa2Sb2 (PBEsol)

Data for a relaxed CsNa2Sb2 crystal.

It has space group I4/mmm (No. 139), with a = 5.400 Å, b = 5.400 Å, c = 12.217 Å, α = 90.00°, β = 90.00° and γ = 90.00°. The inequivalent atoms are Cs at (0.000, 0.000, 0.000), Na at (0.000, 0.500, 0.250) and Sb at (0.000, 0.000, 0.387).

For the total energy, the calculation gives -29.3 eV/cell. Its energy above the most stable polymorph in this dataset is 0 meV per atom. The volume is 35.62 A^3/atom. Its total magnetization is 0.0002 μB per atom. As for the energy relative to the elements, uncorrected: -364 meV/atom. Its theoretical density is 3.938 g/cm³. The density of states at the Fermi level is 0.782 states/eV per atom.



No. 2
## Cr3CuRe (PBEsol)

Data for a relaxed Cr3CuRe crystal.

It has space group Pm-3m (No. 221), with a = 4.566 Å, b = 4.566 Å, c = 4.566 Å, α = 90.00°, β = 90.00° and γ = 90.00°. The inequivalent atoms are Cr at (0.000, 0.000, 0.500), Cu at (0.500, 0.500, 0.500) and Re at (0.000, 0.000, 0.000).

As for the formation enthalpy at 0 K: 1.733 eV per atom. For the total energy, the calculation gives -39.7 eV/cell. The volume is 19.04 A^3/atom. Its total magnetization is 1.6592 μB per atom. Its theoretical density is 7.076 g/cm³. The density of states at the Fermi level is 0.584 states/eV per atom.



No. 3
## Tm2Co3Si5 (PBEsol)

Data for a relaxed Tm2Co3Si5 crystal.

It has space group Ibam (No. 72), with a = 9.364 Å, b = 11.152 Å, c = 5.394 Å, α = 90.00°, β = 90.00° and γ = 90.00°. The inequivalent atoms are Tm at (0.232, 0.137, 0.000), Co at (0.000, 0.500, 0.250), Co at (0.106, 0.139, 0.500), Si at (0.000, 0.000, 0.250), Si at (0.000, 0.278, 0.250) and Si at (0.163, 0.402, 0.000).

For the total energy, the calculation gives -281.4 eV/cell. The volume is 14.08 A^3/atom. Its total magnetization is 0.0151 μB per atom. As for the energy relative to the elements, uncorrected: -860 meV/atom. Its theoretical density is 7.725 g/cm³. The density of states at the Fermi level is 0.565 states/eV per atom.



No. 4
## Y2CdW (PBEsol)

Data for a relaxed Y2CdW crystal.

It has space group R3m (No. 160, hexagonal axes), with a = 3.1419 Å, b = 3.1419 Å, c = 31.6797 Å, α = 90.00°, β = 90.00° and γ = 120.00°. The inequivalent atoms are Y at (0.0000, 0.0000, 0.0000), Y at (0.0000, 0.0000, 0.2349), Cd at (0.0000, 0.0000, 0.7519) and W at (0.0000, 0.0000, 0.4919).

As for the formation enthalpy at 0 K: 0.530 eV per atom. For the total energy, the calculation gives -79.6 eV/cell. The volume is 22.57 A^3/atom. Its total magnetization is 0.0000 μB per atom. Its theoretical density is 8.720 g/cm³. The density of states at the Fermi level is 1.031 states/eV per atom.



No. 5
## La2ReSiBi (PBEsol)

Data for a relaxed La2ReSiBi crystal.

It has space group P4/mmm (No. 123), with a = 5.592 Å, b = 5.592 Å, c = 4.503 Å, α = 90.00°, β = 90.00° and γ = 90.00°. The inequivalent atoms are La at (0.000, 0.500, 0.000), Re at (0.000, 0.000, 0.500), Si at (0.000, 0.000, 0.000) and Bi at (0.500, 0.500, 0.500).

For the total energy, the calculation gives -33.8 eV/cell. The volume is 28.17 A^3/atom. Its total magnetization is 0.0001 μB per atom. As for the energy relative to the elements, uncorrected: 44 meV/atom. Its theoretical density is 8.267 g/cm³. The density of states at the Fermi level is 0.794 states/eV per atom.



No. 6
## KTc2Hg (PBEsol)

Data for a relaxed KTc2Hg crystal.

It has space group Cmm2 (No. 35), with a = 3.008 Å, b = 4.727 Å, c = 10.471 Å, α = 90.00°, β = 90.00° and γ = 90.00°. The inequivalent atoms are K at (0.000, 0.000, 0.000), Tc at (0.000, 0.000, 0.465), Tc at (0.000, 0.500, 0.275) and Hg at (0.000, 0.500, 0.710).

As for the formation enthalpy at 0 K: 0.719 eV per atom. For the total energy, the calculation gives -42.7 eV/cell. The volume is 18.61 A^3/atom. Its total magnetization is 0.0001 μB per atom. Its theoretical density is 9.718 g/cm³. The density of states at the Fermi level is 0.868 states/eV per atom.



No. 7
## CaPt3N (PBEsol)

Data for a relaxed CaPt3N crystal.

It has space group Pm-3m (No. 221), with a = 4.239 Å, b = 4.239 Å, c = 4.239 Å, α = 90.00°, β = 90.00° and γ = 90.00°. The inequivalent atoms are Ca at (0.000, 0.000, 0.000), Pt at (0.000, 0.500, 0.500) and N at (0.500, 0.500, 0.500).

For the total energy, the calculation gives -31.9 eV/cell. The volume is 15.24 A^3/atom. Its total magnetization is 0.0000 μB per atom. As for the energy relative to the elements, uncorrected: -62 meV/atom. Its theoretical density is 13.933 g/cm³. The density of states at the Fermi level is 0.714 states/eV per atom.



No. 8
## ZrCr3As (PBEsol)

Data for a relaxed ZrCr3As crystal.

It has space group Pm-3m (No. 221), with a = 4.383 Å, b = 4.383 Å, c = 4.383 Å, α = 90.00°, β = 90.00° and γ = 90.00°. The inequivalent atoms are Zr at (0.000, 0.000, 0.000), Cr at (0.000, 0.500, 0.500) and As at (0.500, 0.500, 0.500).

As for the formation enthalpy at 0 K: 0.708 eV per atom. For the total energy, the calculation gives -41.4 eV/cell. The volume is 16.84 A^3/atom. Its total magnetization is 0.9697 μB per atom. Its theoretical density is 6.355 g/cm³. The density of states at the Fermi level is 0.989 states/eV per atom.



No. 9
## Cd4InCo (PBEsol)

Data for a relaxed Cd4InCo crystal.

It has space group F-43m (No. 216), with a = 7.830 Å, b = 7.830 Å, c = 7.830 Å, α = 90.00°, β = 90.00° and γ = 90.00°. The inequivalent atoms are Cd at (0.124, 0.124, 0.376), In at (0.000, 0.000, 0.000) and Co at (0.250, 0.250, 0.750).

As for the formation enthalpy at 0 K: 0.441 eV per atom. For the total energy, the calculation gives -51.4 eV/cell. The volume is 20.00 A^3/atom. Its total magnetization is 0.1768 μB per atom. Its theoretical density is 8.625 g/cm³. The density of states at the Fermi level is 1.271 states/eV per atom.



No. 10
## KZnCd (PBEsol)

Data for a relaxed KZnCd crystal.

It has space group F-43m (No. 216), with a = 7.249 Å, b = 7.249 Å, c = 7.249 Å, α = 90.00°, β = 90.00° and γ = 90.00°. The inequivalent atoms are K at (0.000, 0.000, 0.000), Zn at (0.000, 0.000, 0.500) and Cd at (0.250, 0.250, 0.250).

As for the formation enthalpy at 0 K: 0.331 eV per atom. For the total energy, the calculation gives -11.7 eV/cell. The volume is 31.74 A^3/atom. Its total magnetization is 0.0000 μB per atom. Its theoretical density is 3.782 g/cm³. The density of states at the Fermi level is 0.533 states/eV per atom.



No. 11
## SrTc2Ir (PBEsol)

Data for a relaxed SrTc2Ir crystal.

It has space group Pmmm (No. 47), with a = 2.895 Å, b = 4.770 Å, c = 4.894 Å, α = 90.00°, β = 90.00° and γ = 90.00°. The inequivalent atoms are Sr at (0.000, 0.000, 0.000), Tc at (0.000, 0.500, 0.500), Tc at (0.500, 0.000, 0.500) and Ir at (0.500, 0.500, 0.000).

As for the formation enthalpy at 0 K: 0.874 eV per atom. For the total energy, the calculation gives -30.7 eV/cell. Its energy above the most stable polymorph in this dataset is 350 meV per atom. The volume is 16.90 A^3/atom. Its total magnetization is 0.0000 μB per atom. Its theoretical density is 11.691 g/cm³. The density of states at the Fermi level is 1.329 states/eV per atom.



No. 12
## SbSeN2F (PBEsol)

Data for a relaxed SbSeN2F crystal.

It has space group P4/mmm (No. 123), with a = 4.045 Å, b = 4.045 Å, c = 3.954 Å, α = 90.00°, β = 90.00° and γ = 90.00°. The inequivalent atoms are Sb at (0.000, 0.000, 0.000), Se at (0.500, 0.500, 0.500), N at (0.000, 0.500, 0.500) and F at (0.500, 0.500, 0.000).

For the total energy, the calculation gives -23.8 eV/cell. Its energy above the most stable polymorph in this dataset is 0 meV per atom. The volume is 12.94 A^3/atom. Its total magnetization is 0.0000 μB per atom. As for the energy relative to the elements, uncorrected: 712 meV/atom. Its theoretical density is 6.360 g/cm³. The density of states at the Fermi level is 0.202 states/eV per atom.



Repeat the tenth record exactly.
## KZnCd (PBEsol)

Data for a relaxed KZnCd crystal.

It has space group F-43m (No. 216), with a = 7.249 Å, b = 7.249 Å, c = 7.249 Å, α = 90.00°, β = 90.00° and γ = 90.00°. The inequivalent atoms are K at (0.000, 0.000, 0.000), Zn at (0.000, 0.000, 0.500) and Cd at (0.250, 0.250, 0.250).

As for the formation enthalpy at 0 K: 0.331 eV per atom. For the total energy, the calculation gives -11.7 eV/cell. The volume is 31.74 A^3/atom. Its total magnetization is 0.0000 μB per atom. Its theoretical density is 3.782 g/cm³. The density of states at the Fermi level is 0.533 states/eV per atom.



What did the fourth record say?
## Y2CdW (PBEsol)

Data for a relaxed Y2CdW crystal.

It has space group R3m (No. 160, hexagonal axes), with a = 3.1419 Å, b = 3.1419 Å, c = 31.6797 Å, α = 90.00°, β = 90.00° and γ = 120.00°. The inequivalent atoms are Y at (0.0000, 0.0000, 0.0000), Y at (0.0000, 0.0000, 0.2349), Cd at (0.0000, 0.0000, 0.7519) and W at (0.0000, 0.0000, 0.4919).

As for the formation enthalpy at 0 K: 0.530 eV per atom. For the total energy, the calculation gives -79.6 eV/cell. The volume is 22.57 A^3/atom. Its total magnetization is 0.0000 μB per atom. Its theoretical density is 8.720 g/cm³. The density of states at the Fermi level is 1.031 states/eV per atom.



> Which of these has the highest total magnetization?

Cr3CuRe